No. 1
The following is a PBE calculation of crystalline PmTmHgOs at its relaxed geometry, from Alexandria.

Output
As for the crystal system: cubic. As for the density of states at the Fermi level: 2.98 states/eV/cell. As for the formation energy: -4.90 kcal/mol of atoms. The value obtained for the total energy is -21.603 eV for the cell shown. As for the theoretical density: 12.852 Mg/m³.

Cell: 5.0498 5.0498 5.0498 Å, 60.00 60.00 60.00°
Last column: nearest neighbours and their distance in Å.
Element x y z (fractional)
Tm1 0.2500 0.2500 0.2500  4 Os 3.09, 4 Hg 3.09
Os1 0.5000 0.5000 0.5000  4 Pm 3.09, 4 Tm 3.09
Pm1 0.7500 0.7500 0.7500  4 Hg 3.09, 4 Os 3.09
Hg1 0.0000 0.0000 0.0000  4 Tm 3.09, 4 Pm 3.09

=====

No. 2
The following is a PBE calculation of crystalline Ce4ThO10 at its relaxed geometry, from Alexandria.

Output
As for the crystal system: monoclinic. As for the density of states at the Fermi level: 0.00 states/eV/cell. The value obtained for the total energy is -267.825 eV for the cell shown. As for the theoretical density: 7.620 Mg/m³. The uncorrected formation energy comes out at -3.54 eV per atom.

Cell: 16.0189 16.0189 6.7294 Å, 85.96 85.96 13.95°
Last column: nearest neighbours and their distance in Å.
Element x y z (fractional)
Ce1 0.0000 0.0000 0.5000  8 O 2.37-2.38
Ce2 0.7006 0.7006 0.6005  8 O 2.35-2.38
Ce3 0.2994 0.2994 0.3995  8 O 2.35-2.38
Ce4 0.2008 0.2008 0.0989  8 O 2.34-2.38
Ce5 0.1003 0.1003 0.8000  8 O 2.36-2.40
Ce6 0.8997 0.8997 0.2000  8 O 2.36-2.40
Ce7 0.7992 0.7992 0.9011  8 O 2.34-2.38
Ce8 0.5000 0.5000 0.0000  8 O 2.37-2.38
Th1 0.6004 0.6004 0.2997  8 O 2.40-2.41
Th2 0.3996 0.3996 0.7003  8 O 2.40-2.41
O1 0.9751 0.9751 0.1743  4 Ce 2.38-2.39
O2 0.4757 0.4757 0.6753  3 Ce 2.37-2.38, 1 Th 2.41
O3 0.8242 0.8242 0.2255  4 Ce 2.38-2.40
O4 0.8742 0.8742 0.8791  2 Ce 2.36-2.38, 2 Th 2.40
O5 0.6258 0.6258 0.6284  3 Ce 2.37-2.38, 1 Th 2.41
O6 0.6763 0.6763 0.2747  3 Ce 2.38, 1 Th 2.41
O7 0.7747 0.7747 0.5751  4 Ce 2.35-2.38
O8 0.3742 0.3742 0.3716  3 Ce 2.37-2.38, 1 Th 2.41
O9 0.1758 0.1758 0.7745  4 Ce 2.38-2.40
O10 0.0747 0.0747 0.4786  2 Ce 2.36-2.37, 2 Th 2.40
O11 0.7253 0.7253 0.9249  4 Ce 2.34-2.37
O12 0.2253 0.2253 0.4249  4 Ce 2.35-2.38
O13 0.0249 0.0249 0.8257  4 Ce 2.38-2.39
O14 0.1258 0.1258 0.1209  2 Ce 2.36-2.38, 2 Th 2.40
O15 0.4252 0.4252 0.0285  3 Ce 2.37, 1 Th 2.41
O16 0.5243 0.5243 0.3247  3 Ce 2.37-2.38, 1 Th 2.41
O17 0.5748 0.5748 0.9715  3 Ce 2.37, 1 Th 2.41
O18 0.2747 0.2747 0.0751  4 Ce 2.34-2.37
O19 0.3237 0.3237 0.7253  3 Ce 2.38, 1 Th 2.41
O20 0.9253 0.9253 0.5214  2 Ce 2.36-2.37, 2 Th 2.40

=====

No. 3
The following is a PBE calculation of crystalline Cd2BiSb at its relaxed geometry, from Alexandria.

Output
As for the crystal system: triclinic. As for the density of states at the Fermi level: 2.27 states/eV/cell. The value obtained for the total energy is -19.165 eV for the cell shown. As for the theoretical density: 8.000 Mg/m³. The uncorrected formation energy comes out at 0.06 eV per atom.

Cell: 4.2313 6.3944 8.6421 Å, 90.00 89.99 80.54°
Last column: nearest neighbours and their distance in Å.
Element x y z (fractional)
Cd1 0.7500 0.4180 0.9803  2 Sb 2.94-3.10, 2 Bi 3.07-3.26, 2 Cd 3.18-3.23
Cd2 0.8040 0.9088 0.9851  2 Sb 3.00-3.03, 2 Bi 3.14-3.23, 2 Cd 3.18-3.23
Cd3 0.8042 0.9078 0.4697  2 Sb 3.00-3.03, 2 Bi 3.14-3.23, 2 Cd 3.19-3.23
Cd4 0.7504 0.4168 0.4761  2 Sb 2.94-3.10, 2 Bi 3.07-3.26, 2 Cd 3.19-3.23
Bi1 0.3214 0.7761 0.7275  6 Cd 3.14-3.46, 2 Bi 3.19-3.20
Bi2 0.3190 0.2756 0.7283  4 Cd 3.07-3.26, 2 Bi 3.19-3.20
Sb1 0.2907 0.9850 0.2275  1 Sb 2.89, 4 Cd 3.00-3.03
Sb2 0.2173 0.4419 0.2283  1 Sb 2.89, 4 Cd 2.94-3.10

=====

No. 4
The following is a PBE calculation of crystalline K4Ac3YTe8 at its relaxed geometry, from Alexandria.

Output
As for the crystal system: trigonal. As for the density of states at the Fermi level: 0.00 states/eV/cell. The value obtained for the total energy is -71.755 eV for the cell shown. As for the theoretical density: 4.971 Mg/m³. The uncorrected formation energy comes out at -1.47 eV per atom.

Cell: 9.5257 9.9393 9.5257 Å, 118.65 120.00 90.00°
Last column: nearest neighbours and their distance in Å.
Element x y z (fractional)
Ac1 0.0000 0.5000 0.5000  6 Te 3.33-3.34
Ac2 0.5000 0.5000 0.0000  6 Te 3.33-3.34
Ac3 0.5000 0.5000 0.5000  6 Te 3.33-3.34
K1 0.0000 0.0000 0.0000  6 Te 3.56-3.57
K2 0.0000 0.0000 0.5000  6 Te 3.56-3.57
K3 0.5000 0.0000 0.0000  6 Te 3.72
K4 0.5000 0.0000 0.5000  6 Te 3.56-3.57
Te1 0.7692 0.2834 0.5384  1 Y 3.17, 2 Ac 3.34
Te2 0.2448 0.2835 0.0141  1 Y 3.17, 2 Ac 3.34
Te3 0.2579 0.2738 0.5158  3 Ac 3.33, 3 K 3.56
Te4 0.7421 0.7262 0.4842  3 Ac 3.33, 3 K 3.56
Te5 0.7693 0.2835 0.0141  1 Y 3.17, 2 Ac 3.34
Te6 0.2308 0.7166 0.4616  1 Y 3.17, 2 Ac 3.34
Te7 0.7552 0.7165 0.9859  1 Y 3.17, 2 Ac 3.34
Te8 0.2307 0.7165 0.9859  1 Y 3.17, 2 Ac 3.34
Y1 0.0000 0.5000 0.0000  6 Te 3.17

=====

No. 5
The following is a PBE calculation of crystalline CeZr2Sb at its relaxed geometry, from Alexandria.

Output
As for the crystal system: tetragonal. As for the density of states at the Fermi level: 5.43 states/eV/cell. The value obtained for the total energy is -28.752 eV for the cell shown. As for the theoretical density: 7.916 Mg/m³. The uncorrected formation energy comes out at -0.40 eV per atom.

Cell: 4.2169 4.7014 4.7014 Å, 90.00 90.00 90.00°
Last column: nearest neighbours and their distance in Å.
Element x y z (fractional)
Ce1 0.5000 0.5000 0.5000  8 Zr 3.16, 4 Sb 3.32
Sb1 0.5000 0.0000 0.0000  8 Zr 3.16, 4 Ce 3.32
Zr1 0.0000 0.0000 0.5000  4 Ce 3.16, 4 Sb 3.16, 4 Zr 3.32
Zr2 0.0000 0.5000 0.0000  4 Ce 3.16, 4 Sb 3.16, 4 Zr 3.32

=====

No. 6
The following is a PBE calculation of crystalline Re5Ni3 at its relaxed geometry, from Alexandria.

Output
As for the crystal system: monoclinic. As for the density of states at the Fermi level: 16.01 states/eV/cell. As for the formation energy: 1.27 kcal/mol of atoms. The value obtained for the total energy is -158.287 eV for the cell shown. As for the theoretical density: 17.133 Mg/m³. The energy above the most stable polymorph in this dataset comes out at 0.000 eV per atom.

Cell: 7.1333 7.1333 7.1367 Å, 96.31 96.31 141.22°
Last column: nearest neighbours and their distance in Å.
Element x y z (fractional)
Ni1 0.7501 0.7495 0.0000  2 Ni 2.37, 8 Re 2.56
Ni2 0.6703 0.8293 0.5000  10 Re 2.50-2.73
Ni3 0.1666 0.6671 0.8415  10 Re 2.51-2.73
Ni4 0.2491 0.2505 0.0000  2 Ni 2.37, 8 Re 2.56
Ni5 0.3289 0.1707 0.5000  10 Re 2.50-2.73
Ni6 0.8325 0.3330 0.1585  10 Re 2.51-2.73
Re1 0.7484 0.2488 0.4974  2 Re 2.37, 4 Ni 2.58-2.59
Re2 0.2508 0.7512 0.5026  2 Re 2.37, 4 Ni 2.58-2.59
Re3 0.5689 0.2697 0.8448  6 Ni 2.51-2.73, 3 Re 2.70-2.75
Re4 0.4302 0.7303 0.1552  6 Ni 2.51-2.73, 3 Re 2.70-2.75
Re5 0.0717 0.2271 0.2996  6 Ni 2.50-2.73, 3 Re 2.70-2.75
Re6 0.9275 0.7729 0.7004  6 Ni 2.50-2.73, 3 Re 2.70-2.75
Re7 0.7267 0.5721 0.2996  6 Ni 2.50-2.73, 3 Re 2.70-2.75
Re8 0.7693 0.0694 0.8448  6 Ni 2.51-2.73, 3 Re 2.70-2.75
Re9 0.2725 0.4279 0.7004  6 Ni 2.50-2.73, 3 Re 2.70-2.75
Re10 0.2299 0.9306 0.1552  6 Ni 2.51-2.73, 3 Re 2.70-2.75

=====

No. 7
The following is a PBE calculation of crystalline K6SeO at its relaxed geometry, from Alexandria.

Output
As for the crystal system: trigonal. As for the density of states at the Fermi level: 3.92 states/eV/cell. The value obtained for the total energy is -20.633 eV for the cell shown. As for the theoretical density: 1.308 Mg/m³. The uncorrected formation energy comes out at -0.70 eV per atom.

Cell: 8.1342 8.1342 8.1342 Å, 109.20 109.20 109.20°
Last column: nearest neighbours and their distance in Å.
Element x y z (fractional)
K1 0.5231 0.7911 0.7911  1 O 2.64
K2 0.7911 0.7911 0.5231  1 O 2.64
K3 0.7911 0.5231 0.7911  1 O 2.64
K4 0.2089 0.4769 0.2089  1 O 2.64
K5 0.4769 0.2089 0.2089  1 O 2.64
K6 0.2089 0.2089 0.4769  1 O 2.64
O1 0.5000 0.5000 0.5000  6 K 2.64
Se1 0.0000 0.0000 0.0000  6 K 3.20

=====

No. 8
The following is a PBE calculation of crystalline ErPuNb at its relaxed geometry, from Alexandria.

Output
As for the crystal system: trigonal. As for the density of states at the Fermi level: 11.07 states/eV/cell. As for the formation energy: 7.68 kcal/mol of atoms. The value obtained for the total energy is -55.930 eV for the cell shown. As for the theoretical density: 12.104 Mg/m³.

Cell: 3.4652 3.4652 13.4524 Å, 82.60 82.60 60.00°
Last column: nearest neighbours and their distance in Å.
Element x y z (fractional)
Er1 0.8719 0.8719 0.3842  3 Nb 3.13, 6 Er 3.47
Er2 0.1281 0.1281 0.6158  3 Nb 3.13, 6 Er 3.47
Nb1 0.5990 0.5990 0.2030  3 Pu 2.89, 3 Er 3.13
Nb2 0.4010 0.4010 0.7970  3 Pu 2.89, 3 Er 3.13
Pu1 0.3178 0.3178 0.0466  3 Pu 2.35
Pu2 0.6822 0.6822 0.9534  3 Pu 2.35

=====

No. 9
The following is a PBE calculation of crystalline SmAl2Ni4Ge at its relaxed geometry, from Alexandria.

Output
As for the crystal system: trigonal. As for the density of states at the Fermi level: 4.14 states/eV/cell. As for the formation energy: -10.78 kcal/mol of atoms. The value obtained for the total energy is -43.688 eV for the cell shown. As for the theoretical density: 7.050 Mg/m³.

Cell: 4.0635 4.0635 8.7490 Å, 76.57 76.57 60.00°
Last column: nearest neighbours and their distance in Å.
Element x y z (fractional)
Ni1 0.5924 0.5924 0.2227  1 Ge 2.34, 3 Al 2.39
Ni2 0.1353 0.1353 0.5942  3 Ge 2.48, 4 Al 2.59-2.68
Ni3 0.8647 0.8647 0.4058  3 Ge 2.48, 4 Al 2.59-2.68
Ni4 0.4076 0.4076 0.7773  1 Ge 2.34, 3 Al 2.39
Ge1 0.5000 0.5000 0.5000  8 Ni 2.34-2.48
Sm1 0.0000 0.0000 0.0000  6 Ni 3.00, 6 Al 3.30
Al1 0.2413 0.2413 0.2762  6 Ni 2.39-2.59
Al2 0.7587 0.7587 0.7238  6 Ni 2.39-2.59

=====

No. 10
The following is a PBE calculation of crystalline CaTl2ZnW at its relaxed geometry, from Alexandria.

Output
As for the crystal system: tetragonal. As for the density of states at the Fermi level: 2.17 states/eV/cell. As for the formation energy: 11.59 kcal/mol of atoms. The value obtained for the total energy is -18.449 eV for the cell shown. As for the theoretical density: 8.157 Mg/m³.

Cell: 5.3210 5.0193 5.3210 Å, 90.00 90.00 90.00°
Last column: nearest neighbours and their distance in Å.
Element x y z (fractional)
Tl1 0.0000 0.0000 0.5000  2 W 2.66
Tl2 0.5000 0.0000 0.0000  2 W 2.66
W1 0.0000 0.0000 0.0000  2 Zn 2.51, 4 Tl 2.66
Ca1 0.5000 0.5000 0.5000  8 Tl 3.66, 4 Zn 3.76
Zn1 0.0000 0.5000 0.0000  2 W 2.51

=====

No. 11
The following is a PBE calculation of crystalline Ta2InGeI at its relaxed geometry, from Alexandria.

Output
As for the crystal system: tetragonal. As for the density of states at the Fermi level: 7.00 states/eV/cell. The value obtained for the total energy is -25.604 eV for the cell shown. As for the theoretical density: 8.420 Mg/m³. The uncorrected formation energy comes out at 1.40 eV per atom.

Cell: 4.9484 5.4465 4.9484 Å, 90.00 90.00 90.00°
Last column: nearest neighbours and their distance in Å.
Element x y z (fractional)
Ta1 0.5000 0.0000 0.0000  2 Ge 2.47
Ta2 0.0000 0.0000 0.5000  2 Ge 2.47
Ge1 0.0000 0.0000 0.0000  4 Ta 2.47, 2 I 2.72
I1 0.0000 0.5000 0.0000  2 Ge 2.72
In1 0.5000 0.5000 0.5000  4 I 3.50, 8 Ta 3.68

=====

No. 12
The following is a PBE calculation of crystalline Be2FeRh at its relaxed geometry, from Alexandria.

Output
As for the crystal system: tetragonal. As for the density of states at the Fermi level: 5.11 states/eV/cell. As for the formation energy: 1.92 kcal/mol of atoms. The value obtained for the total energy is -45.868 eV for the cell shown. As for the theoretical density: 6.633 Mg/m³.

Cell: 5.9481 5.9481 4.8937 Å, 52.57 52.57 90.00°
Last column: nearest neighbours and their distance in Å.
Element x y z (fractional)
Fe1 0.5000 0.5000 0.0000  4 Be 2.18
Fe2 0.2500 0.7500 0.5000  4 Be 2.18
Be1 0.3750 0.3789 0.7500  2 Fe 2.18, 2 Rh 2.21
Be2 0.8750 0.8711 0.7500  2 Fe 2.18, 2 Rh 2.21
Be3 0.6211 0.1250 0.2500  2 Fe 2.18, 2 Rh 2.21
Be4 0.1289 0.6250 0.2500  2 Fe 2.18, 2 Rh 2.21
Rh1 0.7500 0.2500 0.5000  4 Be 2.21
Rh2 0.0000 0.0000 0.0000  4 Be 2.21

=====

Question: theoretical density of number 4 (K4Ac3YTe8)?
Answer: 4.971 Mg/m³